VASP calculation (PBE+U) on a geometry-optimized CrSnO2 structure.

Computed properties:
E = -52.21 eV/cell
SG = Cmcm, No. 63
Size of the total moment = 7.98 μB/cell
Energy above the lowest structure with this stoichiometry = 0.345 eV per atom
DOS at the Fermi energy = 1.94 states/eV/cell

a b c (Å): 8.5262 8.5262 3.9861
angles (deg): 90.00 90.00 154.13
With the nearest neighbours (Å) after each atom.
Fractional positions:
1 Cr 0.0667 0.9333 0.2500  4 O 2.00-2.08
2 Cr 0.9333 0.0667 0.7500  4 O 2.00-2.08
3 Sn 0.3240 0.6760 0.2500  1 O 2.20
4 Sn 0.6760 0.3240 0.7500  1 O 2.20
5 O 0.1916 0.8084 0.2500  1 Cr 2.08, 1 Sn 2.20
6 O 0.8084 0.1916 0.7500  1 Cr 2.08, 1 Sn 2.20
7 O 0.9445 0.0555 0.2500  3 Cr 2.00-2.03
8 O 0.0555 0.9445 0.7500  3 Cr 2.00-2.03